CsCrCdO4 PBE+U optimized geometry; energy = -38.811 eV/f.u.
1.0
-0.855 0.059 5.770
6.237 -0.037 0.924
0.339 7.676 -1.979
O Cr Cd Cs
8 2 2 2
Direct
0.948 0.039 0.673 O
0.522 0.250 0.495 O
0.676 0.250 0.871 O
0.052 0.539 0.327 O
0.948 0.461 0.673 O
0.478 0.750 0.505 O
0.324 0.750 0.129 O
0.052 0.961 0.327 O
0.256 0.750 0.322 Cr
0.744 0.250 0.678 Cr
0.857 0.750 0.497 Cd
0.143 0.250 0.503 Cd
0.735 0.750 0.947 Cs
0.265 0.250 0.053 Cs